A plane-wave DFT calculation with GGA-PBE was carried out for a geometry-optimized Ca3CeU2P6 structure.

Values from the calculation:
- DFT total energy (eV/f.u.) = -80.73
- crystal system = monoclinic
- symmetry = C2/m (12)
- energy relative to the elements (eV/atom) = -1.146
- size of the total moment (μB/atom) = 0.333

```
data_Ca3CeU2P6
_chemical_formula_sum 'Ca3 Ce1 U2 P6'
_cell_length_a 7.0541
_cell_length_b 7.0541
_cell_length_c 7.0459
_cell_angle_alpha 99.62
_cell_angle_beta 99.62
_cell_angle_gamma 119.99
_space_group_name_H-M_alt 'P 1'
_space_group_IT_number 1
_space_group_name_Hall 'P 1'
loop_
_atom_site_label
_atom_site_type_symbol
_atom_site_fract_x
_atom_site_fract_y
_atom_site_fract_z
P1 P 0.4196 0.0762 0.2282
P2 P 0.5804 0.9238 0.7718
P3 P 0.0762 0.4196 0.2282
P4 P 0.9238 0.5804 0.7718
P5 P 0.2671 0.2671 0.7712
P6 P 0.7329 0.7329 0.2288
Ca1 Ca 0.1647 0.8353 0.5000
Ca2 Ca 0.8353 0.1647 0.5000
Ca3 Ca 0.5000 0.5000 0.5000
Ce1 Ce 0.0000 0.0000 0.0000
U1 U 0.3331 0.6669 0.0000
U2 U 0.6669 0.3331 0.0000
```